Pr3OsPb: relaxed, PBE.

Cell and atoms, written as extended XYZ:
```
5
Lattice="-5.2670 1.0869 1.4037 0.3700 -3.6262 4.1960 1.7364 4.0697 3.3639" Properties=species:S:1:pos:R:3 pbc="T T T"
Pb -1.5803 0.7652 4.4818
Pr 0.1850 -1.8131 2.0980
Pr 0.8682 2.0348 1.6819
Pr -2.6335 0.5434 0.7019
Os 0.0000 0.0000 0.0000
```

DOS(E_F) (states/eV/cell): 3.53
E_form (eV/atom): -0.077
Theoretical density (Mg/m³): 7.93


Os2PtPb: relaxed, PBE.

Cell and atoms, written as extended XYZ:
```
4
Lattice="-4.7956 -0.2746 -3.9519 -6.0584 -0.5925 1.2788 5.4886 2.9130 0.2818" Properties=species:S:1:pos:R:3 pbc="T T T"
Os -10.4326 -0.8334 -2.5694
Os -2.6605 1.0790 -2.5756
Pb -5.8374 -0.4663 -1.4376
Pt -2.7157 0.9660 0.1816
```

DOS(E_F) (states/eV/cell): 3.87
E_form (eV/atom): 0.738
Theoretical density (Mg/m³): 17.77